## KGaRu2O8 (PBE)

Data for a relaxed structure of KGaRu2O8.

D(E_F) = 2.41 states/eV/cell
Total energy = -74.9 eV per cell
Energy relative to the elements, uncorrected = -1.0467 eV per atom

Cell lengths 5.3296, 5.3296, 7.9158 Å; angles 90.00, 90.00, 120.00 degrees
Last column: nearest neighbours and their distance in Å.
Space group P-3 (No. 147)
Asymmetric unit:
K (0.0000, 0.0000, 0.0000)  12 O 3.11-3.18
Ga (0.0000, 0.0000, 0.5000)  6 O 1.99
Ru (0.3333, 0.6667, 0.7210)  4 O 1.75-1.81
O (0.0430, 0.3170, 0.6518)  1 Ru 1.81, 1 Ga 1.99
O (0.3333, 0.6667, 0.9425)  1 Ru 1.75